! LaEuZnSb PBE-GGA optimized geometry; values from VASP
&SYSTEM
  ibrav = 0, nat = 4, ntyp = 4
/
ATOMIC_SPECIES
Eu 151.96 Eu.upf
La 138.91 La.upf
Sb 121.76 Sb.upf
Zn 65.41 Zn.upf
CELL_PARAMETERS angstrom
-3.2028 2.6569 3.5067
-5.4007 -0.6241 -0.2374
-2.5980 -2.7353 3.9221
ATOMIC_POSITIONS angstrom
Eu -8.4012 -0.5268 5.3935
La -2.8004 -0.1756 1.7978
Sb -5.6008 -0.3512 3.5957
Zn 0.0000 0.0000 0.0000
! - ΔE_f (raw) (meV/atom) = -626
! - electronic total energy (eV/atom) = -5.78



! CsAcCu2Br6 PBE-GGA optimized geometry; values from VASP
&SYSTEM
  ibrav = 0, nat = 20, ntyp = 4
/
ATOMIC_SPECIES
Cs 132.91 Cs.upf
Br 79.90 Br.upf
Cu 63.55 Cu.upf
Ac 227.00 Ac.upf
CELL_PARAMETERS angstrom
9.1161 -0.7766 0.0605
-1.8868 8.9524 0.0605
-2.0598 -2.3295 9.2720
ATOMIC_POSITIONS angstrom
Cs 6.0397 -1.1695 7.0146
Cs -0.8702 7.0158 2.3785
Br 1.3203 1.5315 0.8240
Br 0.3285 0.3332 5.4601
Br 4.8410 5.5132 3.9330
Br 0.8951 6.0141 7.0853
Br -1.7197 3.0569 6.9438
Br 3.9409 1.8720 5.3940
Br 1.2286 3.9744 3.9991
Br 2.7641 0.5411 8.6351
Br 4.2744 -0.1678 2.3078
Br 2.4053 5.3052 0.7580
Br 6.8892 2.7894 2.4493
Br 3.8491 4.3148 8.5691
Cu 3.4478 6.6966 2.5100
Cu 1.7217 -0.8502 6.8831
Cu -0.0247 2.7694 2.2470
Cu 5.1942 3.0770 7.1461
Ac 3.7763 2.9072 2.3785
Ac 1.3931 2.9391 7.0146
! - ΔE_f (raw) (meV/atom) = -1261
! - electronic total energy (eV/atom) = -3.58



! LaPr2Ru PBE-GGA optimized geometry; values from VASP
&SYSTEM
  ibrav = 0, nat = 16, ntyp = 3
/
ATOMIC_SPECIES
Pr 140.91 Pr.upf
La 138.91 La.upf
Ru 101.07 Ru.upf
CELL_PARAMETERS angstrom
-6.0521 2.0751 1.5721
-2.9032 -5.1470 -4.3827
-0.2084 -6.4612 7.7261
ATOMIC_POSITIONS angstrom
Pr -3.0870 -5.8759 0.6773
Pr -2.4789 -0.6352 0.2950
Pr -6.1527 -6.0091 7.0507
Pr -6.0768 -3.6572 4.2383
Pr -6.6849 -8.8979 4.6205
Pr -3.0111 -3.5239 -2.1351
Pr -6.6090 -6.5459 1.8081
Pr -2.5548 -2.9871 3.1074
La -5.5809 -3.1303 0.5154
La -3.5829 -6.4027 4.4002
La -3.7898 -9.4030 1.8855
La -5.3740 -0.1301 3.0300
Ru -5.4072 -5.1545 -1.1727
Ru -7.8110 -6.0597 4.5730
Ru -1.3528 -3.4734 0.3425
Ru -3.7566 -4.3786 6.0883
! - electronic total energy (eV/atom) = -6.15
! - calculated formation energy (eV/atom) = -0.21



! NaAlS4 PBE-GGA optimized geometry; values from VASP
&SYSTEM
  ibrav = 0, nat = 12, ntyp = 3
/
ATOMIC_SPECIES
Al 26.98 Al.upf
S 32.06 S.upf
Na 22.99 Na.upf
CELL_PARAMETERS angstrom
-3.0620 4.8836 1.2805
-1.0825 -3.4173 5.2619
10.1564 3.2254 0.9627
ATOMIC_POSITIONS angstrom
Al 2.2536 3.5732 4.0796
Al 3.7583 1.1185 3.4255
S -1.3397 -1.8595 4.2968
S 2.3916 2.3948 2.1396
S 0.1936 3.8104 5.0130
S 7.3516 6.5512 3.2084
S -3.3459 1.6172 4.8767
S 3.6203 2.2968 5.3656
S 5.8183 0.8813 2.4922
S 9.3578 3.0745 2.6285
Na 5.0498 3.1945 1.1875
Na 0.9621 1.4972 6.3176
! - ΔE_f (raw) (meV/atom) = -621
! - electronic total energy (eV/atom) = -4.22



! VTe4Au PBE-GGA optimized geometry; values from VASP
&SYSTEM
  ibrav = 0, nat = 12, ntyp = 3
/
ATOMIC_SPECIES
Te 127.60 Te.upf
V 50.94 V.upf
Au 196.97 Au.upf
CELL_PARAMETERS angstrom
-2.0008 -5.8105 2.9640
1.3801 -3.3974 -5.7285
6.3420 -0.9925 2.1165
ATOMIC_POSITIONS angstrom
Te 0.6879 -5.8907 2.7410
Te 1.1275 -5.1575 -3.6403
Te -0.1852 -7.2940 -0.8619
Te 4.5937 -5.0429 2.9923
Te 5.0334 -4.3098 -3.3891
Te 5.9064 -2.9065 0.2139
Te 3.6568 -6.2889 -0.3455
Te 2.0645 -3.9115 -0.3025
V 0.0000 0.0000 0.0000
V -0.3104 -4.6040 -1.3823
Au 2.1706 -3.4015 2.5402
Au 3.8610 -2.1950 -1.8060
! - ΔE_f (raw) (meV/atom) = -153
! - electronic total energy (eV/atom) = -4.31



! Nd4HgAu2 PBE-GGA optimized geometry; values from VASP
&SYSTEM
  ibrav = 0, nat = 7, ntyp = 3
/
ATOMIC_SPECIES
Nd 144.24 Nd.upf
Au 196.97 Au.upf
Hg 200.59 Hg.upf
CELL_PARAMETERS angstrom
-3.5962 0.3275 3.5377
-3.2423 -3.8203 0.6696
3.7668 -5.1537 7.9179
ATOMIC_POSITIONS angstrom
Nd -3.7138 -2.8861 3.7156
Nd -3.1106 -5.9525 8.2245
Nd 0.6422 -5.7603 8.4097
Nd 0.0389 -2.6940 3.9007
Au 1.9173 -3.9334 5.9249
Au -4.9890 -4.7131 6.2003
Hg 0.0000 0.0000 0.0000
! - electronic total energy (eV/atom) = -4.12
! - calculated formation energy (eV/atom) = -0.42



! YTeP2O PBE-GGA optimized geometry; values from VASP
&SYSTEM
  ibrav = 0, nat = 5, ntyp = 4
/
ATOMIC_SPECIES
Y 88.91 Y.upf
P 30.97 P.upf
Te 127.60 Te.upf
O 16.00 O.upf
CELL_PARAMETERS angstrom
-1.5750 1.2598 -4.6600
-3.6143 -3.5570 0.2600
-2.5441 2.7013 1.5902
ATOMIC_POSITIONS angstrom
Y -3.8667 0.2021 -1.4049
P -0.7875 0.6299 -2.3300
P -1.8072 -1.7785 0.1300
Te 0.0000 0.0000 0.0000
O -1.2721 1.3507 0.7951
! - ΔE_f (raw) (meV/atom) = -262
! - electronic total energy (eV/atom) = -5.34



! ScAu PBE-GGA optimized geometry; values from VASP
&SYSTEM
  ibrav = 0, nat = 4, ntyp = 2
/
ATOMIC_SPECIES
Au 196.97 Au.upf
Sc 44.96 Sc.upf
CELL_PARAMETERS angstrom
-1.2448 1.7265 -2.8304
-2.2015 -0.9416 2.6094
1.4231 7.3307 3.8458
ATOMIC_POSITIONS angstrom
Au 0.0007 0.0036 0.0019
Au -1.5275 1.7769 1.7557
Sc -0.7686 5.6861 3.8065
Sc 0.6649 3.4250 1.7968
! - electronic total energy (eV/atom) = -5.12
! - calculated formation energy (eV/atom) = -0.32



! NaNbZn PBE-GGA optimized geometry; values from VASP
&SYSTEM
  ibrav = 0, nat = 3, ntyp = 3
/
ATOMIC_SPECIES
Na 22.99 Na.upf
Zn 65.41 Zn.upf
Nb 92.91 Nb.upf
CELL_PARAMETERS angstrom
0.0000 3.1638 3.1638
3.1638 0.0000 3.1638
3.1638 3.1638 0.0000
ATOMIC_POSITIONS angstrom
Na 1.5819 1.5819 1.5819
Zn 0.0000 0.0000 0.0000
Nb 4.7457 4.7457 4.7457
! - electronic total energy (eV/atom) = -3.19
! - calculated formation energy (eV/atom) = 1.03



! Pr2HoP3Rh12 PBE-GGA optimized geometry; values from VASP
&SYSTEM
  ibrav = 0, nat = 18, ntyp = 4
/
ATOMIC_SPECIES
Pr 140.91 Pr.upf
Rh 102.91 Rh.upf
P 30.97 P.upf
Ho 164.93 Ho.upf
CELL_PARAMETERS angstrom
-1.6637 -4.1219 -5.1068
-0.7924 -5.5568 3.7858
-6.7028 0.5879 0.7516
ATOMIC_POSITIONS angstrom
Pr -3.4243 -3.3988 -0.2129
Pr -5.7347 -5.6921 -0.3566
Rh -3.7671 -6.3569 1.8703
Rh -6.7303 -5.4708 2.0309
Rh -4.2453 -5.5695 -3.0096
Rh -4.8955 -1.3144 0.2676
Rh -2.1485 -6.1060 -0.7747
Rh -4.9137 -3.5214 2.4402
Rh -2.0021 -4.3225 1.7529
Rh -4.2635 -7.7765 -0.8370
Rh -7.1569 -4.7684 -2.3224
Rh -5.3918 -2.7340 -2.4398
Rh -2.4287 -3.6201 -2.6004
Rh -7.0105 -2.9849 0.2053
P -0.8319 -2.0610 -2.5534
P -0.3962 -2.7784 1.8929
P -3.3514 0.2940 0.3758
Ho 0.0000 0.0000 0.0000
! - electronic total energy (eV/atom) = -6.91
! - calculated formation energy (eV/atom) = -0.32



! CaLaTbCe PBE-GGA optimized geometry; values from VASP
&SYSTEM
  ibrav = 0, nat = 4, ntyp = 4
/
ATOMIC_SPECIES
Tb 158.93 Tb.upf
La 138.91 La.upf
Ca 40.08 Ca.upf
Ce 140.12 Ce.upf
CELL_PARAMETERS angstrom
-1.2404 -2.0141 5.3601
4.1955 -2.5072 3.2308
2.1005 2.7566 4.7239
ATOMIC_POSITIONS angstrom
Tb 2.5278 -0.8823 6.6574
La 0.0000 0.0000 0.0000
Ca 1.2639 -0.4412 3.3287
Ce 3.7917 -1.3235 9.9861
! - electronic total energy (eV/atom) = -4.13
! - calculated formation energy (eV/atom) = 0.24



! Tb2Pu3ThSe6 PBE-GGA optimized geometry; values from VASP
&SYSTEM
  ibrav = 0, nat = 12, ntyp = 4
/
ATOMIC_SPECIES
Tb 158.93 Tb.upf
Pu 244.00 Pu.upf
Se 78.96 Se.upf
Th 232.04 Th.upf
CELL_PARAMETERS angstrom
4.1091 0.0000 0.0000
0.0000 8.3204 0.2796
-2.0546 -2.4107 8.6934
ATOMIC_POSITIONS angstrom
Tb 2.0546 3.9441 5.9830
Tb 0.0000 1.9656 2.9900
Pu 2.0546 -0.2337 5.8752
Pu 0.0000 6.1435 3.0978
Pu 2.0546 4.1602 0.1398
Se 2.0546 3.7739 8.8727
Se 0.0000 2.1358 0.1003
Se 0.0000 1.8774 5.8938
Se 2.0546 -0.0880 2.9761
Se 0.0000 5.9978 5.9969
Se 2.0546 4.0324 3.0792
Th 2.0546 0.0000 0.0000
! - ΔE_f (raw) (meV/atom) = -1633
! - electronic total energy (eV/atom) = -8.35



> The lowest electronic total energy belongs to which entry?

Tb2Pu3ThSe6